No. 1
Entry from the Alexandria database: MnAl2InF8 after structural relaxation (GGA+U).

Cell and atoms, written as CIF:
```
data_MnAl2InF8
_chemical_formula_sum 'Mn3 Al6 In3 F24'
_symmetry_space_group_name_H-M 'R -3'
_symmetry_Int_Tables_number 148
_symmetry_space_group_name_Hall '-R 3'
_cell_length_a 5.5867
_cell_length_b 5.5867
_cell_length_c 25.4755
_cell_angle_alpha 90.00
_cell_angle_beta 90.00
_cell_angle_gamma 120.00
loop_
_atom_site_label
_atom_site_fract_x
_atom_site_fract_y
_atom_site_fract_z
Mn1 0.0000 0.0000 0.0000
Al1 0.0000 0.0000 0.2578
In1 0.0000 0.0000 0.5000
F1 0.0000 0.0000 0.1917
F2 0.0147 0.5718 0.3829
```

Computed properties:
total DFT energy (no corrections): -198.6 eV/cell
mass density: 2.72 g cm⁻³
magnetic moment: 0.48 μB/atom

No. 2
Entry from the Alexandria database: Mn2AlInF after structural relaxation (GGA+U).

Cell and atoms, written as CIF:
```
data_Mn2AlInF
_chemical_formula_sum 'Mn2 Al1 In1 F1'
_symmetry_space_group_name_H-M 'P 4/m m m'
_symmetry_Int_Tables_number 123
_symmetry_space_group_name_Hall '-P 4 2'
_cell_length_a 5.462
_cell_length_b 5.462
_cell_length_c 4.385
_cell_angle_alpha 90.00
_cell_angle_beta 90.00
_cell_angle_gamma 90.00
loop_
_atom_site_label
_atom_site_fract_x
_atom_site_fract_y
_atom_site_fract_z
Mn1 0.000 0.500 0.000
Al1 0.000 0.000 0.500
In1 0.500 0.500 0.000
F1 0.500 0.500 0.500
```

Computed properties:
total DFT energy (no corrections): -21.8 eV/cell
mass density: 3.44 g cm⁻³
magnetic moment: 1.86 μB/atom